VASP calculation (PBE) on a geometry-optimized ReAgIr structure.

Summary:
energy of formation = 247 meV/atom
total magnetization = 0.00 Bohr magnetons per cell
uncorrected energy = -7.807 eV per atom
E above lowest polymorph = 33 meV/atom
Fermi-level density of states = 2.08 states/eV per cell

a b c (Å): 6.337 6.337 6.337
angles (deg): 154.44 154.44 36.47
Fractional positions:
Re (0.000, 0.000, 0.000)
Ag (0.322, 0.322, 0.000)
Ir (0.641, 0.641, 0.000)

VASP calculation (PBE) on a geometry-optimized HoScRh structure.

Summary:
energy of formation = -439 meV/atom
total magnetization = 0.00 Bohr magnetons per cell
uncorrected energy = -6.526 eV per atom
E above lowest polymorph = 254 meV/atom
Fermi-level density of states = 3.26 states/eV per cell

a b c (Å): 4.537 4.537 3.616
angles (deg): 90.00 90.00 120.00
Fractional positions:
Ho (0.000, 0.000, 0.000)
Sc (0.667, 0.333, 0.458)
Rh (0.333, 0.667, 0.683)

VASP calculation (PBE) on a geometry-optimized Zn2AgTe structure.

Summary:
ΔE_f (raw) = 0.184 eV per atom
total magnetization = 0.00 Bohr magnetons per cell
uncorrected energy = -1.952 eV per atom
E above lowest polymorph = 186 meV/atom
Fermi-level density of states = 1.11 states/eV per cell

a b c (Å): 5.226 5.226 5.226
angles (deg): 135.65 122.20 75.64
Fractional positions:
Zn (0.239, 0.239, 0.000)
Zn (0.761, 0.761, 0.000)
Ag (0.000, 0.500, 0.500)
Te (0.500, 0.000, 0.500)

VASP calculation (PBE) on a geometry-optimized CePuTlAu structure.

Summary:
energy of formation = -253 meV/atom
total magnetization = 6.74 Bohr magnetons per cell
uncorrected energy = -6.731 eV per atom
E above lowest polymorph = 61 meV/atom
Fermi-level density of states = 15.08 states/eV per cell

a b c (Å): 5.334 5.334 5.334
angles (deg): 60.00 60.00 60.00
Fractional positions:
Ce (0.000, 0.000, 0.000)
Pu (0.500, 0.500, 0.500)
Tl (0.250, 0.250, 0.250)
Au (0.750, 0.750, 0.750)

VASP calculation (PBE) on a geometry-optimized HgMoS2Cl structure.

Summary:
ΔE_f (raw) = 1.049 eV per atom
total magnetization = 3.69 Bohr magnetons per cell
uncorrected energy = -3.197 eV per atom
E above lowest polymorph = 1162 meV/atom
Fermi-level density of states = 3.89 states/eV per cell

a b c (Å): 5.015 5.015 5.069
angles (deg): 90.00 90.00 90.00
Fractional positions:
Hg (0.000, 0.000, 0.000)
Mo (0.500, 0.500, 0.500)
S (0.000, 0.500, 0.000)
S (0.500, 0.000, 0.000)
Cl (0.000, 0.000, 0.500)

VASP calculation (PBE) on a geometry-optimized Nd4Ho6Er structure.

Summary:
energy of formation = 295 meV/atom
total magnetization = 0.00 Bohr magnetons per cell
uncorrected energy = -4.350 eV per atom
E above lowest polymorph = 129 meV/atom
Fermi-level density of states = 13.96 states/eV per cell

a b c (Å): 9.712 9.712 9.712
angles (deg): 139.97 139.97 57.89
Fractional positions:
Nd (0.014, 0.635, 0.000)
Nd (0.365, 0.365, 0.379)
Nd (0.635, 0.014, 0.000)
Nd (0.986, 0.986, 0.621)
Ho (0.000, 0.500, 0.500)
Ho (0.198, 0.198, 0.644)
Ho (0.447, 0.802, 0.000)
Ho (0.500, 0.000, 0.500)
Ho (0.553, 0.553, 0.356)
Ho (0.802, 0.447, 0.000)
Er (0.000, 0.000, 0.000)

VASP calculation (PBE) on a geometry-optimized Mo2IrRh structure.

Summary:
energy of formation = -238 meV/atom
total magnetization = 0.00 Bohr magnetons per cell
uncorrected energy = -9.706 eV per atom
E above lowest polymorph = 20 meV/atom
Fermi-level density of states = 2.63 states/eV per cell

a b c (Å): 2.756 2.756 7.876
angles (deg): 90.00 90.00 90.00
Fractional positions:
Mo (0.000, 0.000, 0.250)
Mo (0.000, 0.000, 0.750)
Ir (0.500, 0.500, 0.000)
Rh (0.500, 0.500, 0.500)

VASP calculation (PBE) on a geometry-optimized NdIn4 structure.

Summary:
energy of formation = -321 meV/atom
total magnetization = 0.00 Bohr magnetons per cell
uncorrected energy = -3.466 eV per atom
E above lowest polymorph = 0 meV/atom
Fermi-level density of states = 4.13 states/eV per cell

a b c (Å): 8.962 8.962 8.962
angles (deg): 148.39 135.24 55.83
Fractional positions:
Nd (0.354, 0.104, 0.250)
Nd (0.646, 0.896, 0.750)
In (0.000, 0.500, 0.500)
In (0.143, 0.893, 0.250)
In (0.183, 0.697, 0.486)
In (0.289, 0.303, 0.986)
In (0.500, 0.500, 0.000)
In (0.711, 0.697, 0.014)
In (0.817, 0.303, 0.514)
In (0.857, 0.107, 0.750)

VASP calculation (PBE) on a geometry-optimized Sc2BeTl structure.

Summary:
energy of formation = -54 meV/atom
total magnetization = 0.00 Bohr magnetons per cell
uncorrected energy = -4.743 eV per atom
E above lowest polymorph = 90 meV/atom
Fermi-level density of states = 3.59 states/eV per cell

a b c (Å): 3.506 4.230 5.776
angles (deg): 90.00 107.66 90.00
Fractional positions:
Sc (0.000, 0.000, 0.000)
Sc (0.326, 0.500, 0.653)
Be (0.745, 0.000, 0.494)
Tl (0.604, 0.500, 0.209)

VASP calculation (PBE) on a geometry-optimized SbAs2Se structure.

Summary:
ΔE_f (raw) = 0.215 eV per atom
total magnetization = 0.00 Bohr magnetons per cell
uncorrected energy = -4.012 eV per atom
E above lowest polymorph = 199 meV/atom
Fermi-level density of states = 2.07 states/eV per cell

a b c (Å): 3.507 3.507 7.824
angles (deg): 90.00 90.00 90.00
Fractional positions:
Sb (0.000, 0.000, 0.000)
As (0.000, 0.000, 0.540)
As (0.500, 0.500, 0.672)
Se (0.500, 0.500, 0.182)

VASP calculation (PBE) on a geometry-optimized NaSrTbHg structure.

Summary:
energy of formation = -74 meV/atom
total magnetization = 0.00 Bohr magnetons per cell
uncorrected energy = -2.057 eV per atom
Fermi-level density of states = 2.50 states/eV per cell

a b c (Å): 5.584 5.584 5.584
angles (deg): 60.00 60.00 60.00
Fractional positions:
Na (0.000, 0.000, 0.000)
Sr (0.250, 0.250, 0.250)
Tb (0.750, 0.750, 0.750)
Hg (0.500, 0.500, 0.500)

VASP calculation (PBE) on a geometry-optimized BeCu2RuW structure.

Summary:
energy of formation = 1884 meV/atom
total magnetization = 0.00 Bohr magnetons per cell
uncorrected energy = -4.946 eV per atom
Fermi-level density of states = 5.68 states/eV per cell

a b c (Å): 4.667 4.667 4.619
angles (deg): 90.00 90.00 90.00
Fractional positions:
Be (0.000, 0.000, 0.000)
Cu (0.000, 0.500, 0.500)
Cu (0.500, 0.000, 0.500)
Ru (0.500, 0.500, 0.000)
W (0.500, 0.500, 0.500)